! Si2SeBr, relaxed, DFT GGA-PBE; values from VASP
! **Magnetic moment**: 0.000 μB/atom
! **Symmetry**: Cm (8)
! **Formation energy without anion corrections**: 0.122 eV/atom
&SYSTEM
  ibrav = 0, nat = 4, ntyp = 3
/
ATOMIC_SPECIES
Br 79.90 Br.upf
Se 78.96 Se.upf
Si 28.09 Si.upf
CELL_PARAMETERS angstrom
7.2896 0.0326 -0.0196
6.4536 3.3899 -0.0196
1.1037 0.2748 4.4055
ATOMIC_POSITIONS crystal
Br 0.5204 0.5204 0.4127
Se 0.7739 0.7739 0.7360
Si 0.9054 0.9054 0.2613
Si 0.3003 0.3003 0.0899